## CoSb2NO (PBE+U)

Data for CoSb2NO after structural relaxation.

Unit cell a=4.6595 b=3.5250 c=4.6595 alpha=90.00 beta=90.00 gamma=90.00
Closest atoms and distances in Å follow each position.
Element x y z (fractional)
Sb: 0.0000 0.0000 0.5000  2 N 2.33
Co: 0.5000 0.5000 0.5000  8 Sb 2.92
N: 0.0000 0.0000 0.0000  2 O 1.76
O: 0.0000 0.5000 0.0000  2 N 1.76
Sb: 0.5000 0.0000 0.0000  2 N 2.33

Total energy ... -22.104 eV/cell
Space group ... P4/mmm
Calculated density ... 7.21 Mg/m³